1.
AsHSe2F: optimized geometry, PBE.

a = 4.0276 Å, b = 4.0276 Å, c = 4.5843 Å
α = 90.00°, β = 90.00°, γ = 90.00°
Last column: nearest neighbours and their distance in Å.
Space group P4/mmm (No. 123)
Symmetry-distinct sites (fractional):
As: 0.0000 0.0000 0.0000 [1 per cell]  2 H 2.29
H: 0.0000 0.0000 0.5000 [1 per cell]  4 Se 2.01
Se: 0.0000 0.5000 0.5000 [2 per cell]  2 H 2.01
F: 0.5000 0.5000 0.0000 [1 per cell]  4 As 2.85, 8 Se 3.05

Summary:
* polymorph energy (0 for the lowest one): 0 meV/atom
* magnetization: 0.0 μB per formula unit
* final energy: -3.099 eV/atom

---

2.
TlAsH2F10: optimized geometry, PBE.

a = 5.6823 Å, b = 5.9762 Å, c = 22.1888 Å
α = 90.00°, β = 97.91°, γ = 90.00°
Last column: nearest neighbours and their distance in Å.
Space group P2_1/c (No. 14)
Symmetry-distinct sites (fractional):
Tl: 0.2402 0.1205 0.2301 [4 per cell]  5 F 2.13-2.30
As: 0.4542 0.7471 0.1008 [4 per cell]  6 F 1.74-1.82
H: 0.0211 0.7314 0.3968 [4 per cell]  1 F 1.02
H: 0.1047 0.7353 0.9883 [4 per cell]  1 F 0.99
F: 0.0192 0.6655 0.9514 [4 per cell]  1 H 0.99
F: 0.0330 0.6597 0.3557 [4 per cell]  1 H 1.02
F: 0.0598 0.0615 0.7484 [4 per cell]  2 Tl 2.13-2.22
F: 0.2117 0.6570 0.5457 [4 per cell]  1 H 1.48
F: 0.2480 0.6326 0.1444 [4 per cell]  1 As 1.76
F: 0.3056 0.1665 0.3415 [4 per cell]  1 As 1.80
F: 0.3439 0.1236 0.9401 [4 per cell]  1 As 1.74
F: 0.4299 0.0088 0.1417 [4 per cell]  1 As 1.82
F: 0.4467 0.6796 0.7656 [4 per cell]  2 Tl 2.13-2.23
F: 0.4735 0.0061 0.5628 [4 per cell]  1 As 1.74

Summary:
* magnetization: 0.1 μB per formula unit
* final energy: -4.172 eV/atom

---

3.
HfAsF2: optimized geometry, PBE.

a = 4.1712 Å, b = 4.1712 Å, c = 14.4882 Å
α = 90.00°, β = 90.00°, γ = 90.00°
Last column: nearest neighbours and their distance in Å.
Space group I-42d (No. 122)
Symmetry-distinct sites (fractional):
Hf: 0.0000 0.0000 0.0000 [4 per cell]  4 F 2.13
As: 0.0000 0.0000 0.5000 [4 per cell]  4 F 2.67, 4 Hf 2.95
F: 0.1012 0.7500 0.1250 [8 per cell]  2 Hf 2.13, 2 F 2.25

Summary:
* polymorph energy (0 for the lowest one): 0 meV/atom
* magnetization: 0.0 μB per formula unit
* final energy: -6.468 eV/atom

---

4.
HfAsF3: optimized geometry, PBE.

a = 4.4115 Å, b = 4.4115 Å, c = 4.4115 Å
α = 90.00°, β = 90.00°, γ = 90.00°
Last column: nearest neighbours and their distance in Å.
Space group Pm-3m (No. 221)
Symmetry-distinct sites (fractional):
Hf: 0.0000 0.0000 0.0000 [1 per cell]  12 F 3.12
As: 0.5000 0.5000 0.5000 [1 per cell]  6 F 2.21
F: 0.0000 0.5000 0.5000 [3 per cell]  2 As 2.21

Summary:
* polymorph energy (0 for the lowest one): 1440 meV/atom
* magnetization: 1.5 μB per formula unit
* final energy: -4.590 eV/atom

---

5.
Hf2AsF: optimized geometry, PBE.

a = 6.7383 Å, b = 6.7383 Å, c = 6.1049 Å
α = 90.00°, β = 90.00°, γ = 90.00°
Last column: nearest neighbours and their distance in Å.
Space group I-42d (No. 122)
Symmetry-distinct sites (fractional):
Hf: 0.1735 0.2500 0.1250 [8 per cell]  2 F 2.19
As: 0.0000 0.0000 0.5000 [4 per cell]  8 Hf 2.87-3.07, 2 F 3.05
F: 0.0000 0.0000 0.0000 [4 per cell]  4 Hf 2.19

Summary:
* polymorph energy (0 for the lowest one): 0 meV/atom
* magnetization: 0.0 μB per formula unit
* final energy: -7.717 eV/atom

---

6.
HfAsF: optimized geometry, PBE.

a = 5.2624 Å, b = 10.7621 Å, c = 3.8730 Å
α = 90.00°, β = 90.00°, γ = 90.00°
Last column: nearest neighbours and their distance in Å.
Space group Cmcm (No. 63)
Symmetry-distinct sites (fractional):
Hf: 0.0000 0.1590 0.2500 [4 per cell]  3 F 2.21-2.35
As: 0.0000 0.3450 0.7500 [4 per cell]  4 Hf 2.63-2.79
F: 0.0000 0.0595 0.7500 [4 per cell]  3 Hf 2.21-2.35, 2 F 2.32

Summary:
* magnetization: 0.0 μB per formula unit
* final energy: -7.363 eV/atom

---

7.
HfAsF2: optimized geometry, PBE.

a = 6.0428 Å, b = 6.0428 Å, c = 6.0428 Å
α = 90.00°, β = 90.00°, γ = 90.00°
Last column: nearest neighbours and their distance in Å.
Space group Fm-3m (No. 225)
Symmetry-distinct sites (fractional):
Hf: 0.0000 0.0000 0.0000 [4 per cell]  8 F 2.62
As: 0.0000 0.0000 0.5000 [4 per cell]  8 F 2.62
F: 0.2500 0.2500 0.2500 [8 per cell]  4 Hf 2.62, 4 As 2.62

Summary:
* polymorph energy (0 for the lowest one): 636 meV/atom
* magnetization: 0.0 μB per formula unit
* final energy: -5.832 eV/atom

---

8.
HfAsF2: optimized geometry, PBE.

a = 2.9092 Å, b = 2.9092 Å, c = 31.8801 Å
α = 90.00°, β = 90.00°, γ = 120.00°
Last column: nearest neighbours and their distance in Å.
Space group R-3m (No. 166, hexagonal axes)
Symmetry-distinct sites (fractional):
Hf: 0.0000 0.0000 0.0000 [3 per cell]  6 F 2.27
As: 0.0000 0.0000 0.5000 [3 per cell]  6 As 2.91
F: 0.0000 0.0000 0.3811 [6 per cell]  3 Hf 2.27

Summary:
* polymorph energy (0 for the lowest one): 177 meV/atom
* magnetization: 0.4 μB per formula unit
* final energy: -6.292 eV/atom